# 1
Entry from the Alexandria database: crystalline ZrCuTc at its relaxed geometry (PBE-GGA).

Summary:
formation energy: 855 meV/atom
mass density: 7.21 g/cm3
space group: F-43m (216)
uncorrected energy: -6.815 eV/atom

```
ZrCuTc
1.0
4.3504 0.0000 0.0000
2.1752 3.7675 0.0000
2.1752 1.2558 3.5521
Zr Tc Cu
1 1 1
Direct
0.7500 0.7500 0.7500
0.5000 0.5000 0.5000
0.0000 0.0000 0.0000
```

# 2
Entry from the Alexandria database: crystalline ZrCuTc2 at its relaxed geometry (PBE-GGA).

Summary:
formation energy: -10 meV/atom
mass density: 9.20 g/cm3
space group: P4mm (99)
uncorrected energy: -8.354 eV/atom

```
ZrCuTc2
1.0
3.2780 0.0000 0.0000
0.0000 3.2768 0.0000
0.0000 0.0000 5.8943
Tc Cu Zr
2 1 1
Direct
0.5000 0.5000 0.2238
0.0000 0.0000 0.0008
0.5000 0.5000 0.7671
0.0000 0.0000 0.5083
```

# 3
Entry from the Alexandria database: crystalline ZrCuTc2 at its relaxed geometry (PBE-GGA).

Summary:
formation energy: 238 meV/atom
mass density: 9.26 g/cm3
space group: Fm-3m (225)
uncorrected energy: -8.106 eV/atom

```
ZrCuTc2
1.0
-0.4142 0.4579 4.4215
-1.6370 3.7858 1.7084
-4.0535 0.0355 1.8704
Tc Cu Zr
2 1 1
Direct
0.2500 0.2500 0.2500
0.7500 0.7500 0.7500
0.0000 0.0000 0.0000
0.5000 0.5000 0.5000
```

# 4
Entry from the Alexandria database: crystalline ZrCuTc2 at its relaxed geometry (PBE-GGA).

Summary:
formation energy: 193 meV/atom
mass density: 9.32 g/cm3
space group: Cmmm (65)
uncorrected energy: -8.151 eV/atom

```
ZrCuTc2
1.0
2.7370 -0.0081 0.0000
-0.7469 2.6331 0.0000
0.0000 0.0000 8.6801
Zr Tc Cu
1 2 1
Direct
0.5000 0.5000 0.2500
0.0000 0.0000 0.5182
0.0000 0.0000 0.9818
0.5000 0.5000 0.7500
```

# 5
Entry from the Alexandria database: crystalline ZrCu2Tc at its relaxed geometry (PBE-GGA).

Summary:
formation energy: -27 meV/atom
mass density: 8.71 g/cm3
space group: I4/mmm (139)
uncorrected energy: -6.804 eV/atom

```
ZrCu2Tc
1.0
4.8617 0.0281 -0.0210
1.7493 4.5362 0.0210
-3.2942 -2.2986 2.7391
Tc Cu Zr
1 2 1
Direct
0.2500 0.7500 0.5000
0.0000 0.0000 0.0000
0.5000 0.5000 0.0000
0.7500 0.2500 0.5000
```

# 6
Entry from the Alexandria database: crystalline Zr3Cu2Tc at its relaxed geometry (PBE-GGA).

Summary:
formation energy: -231 meV/atom
mass density: 7.75 g/cm3
space group: P4/mmm (123)
uncorrected energy: -7.598 eV/atom

```
Zr3Cu2Tc
1.0
-0.9824 1.2454 2.9038
-2.7588 -1.8204 -0.1527
4.5455 -7.2793 4.6598
Tc Cu Zr
1 2 3
Direct
0.5000 0.5000 0.5000
0.5000 0.5000 0.1685
0.5000 0.5000 0.8315
0.0000 0.0000 0.3375
0.0000 0.0000 0.0000
0.0000 0.0000 0.6625
```